Below is crystalline CaNd7Er4 at its relaxed geometry, with properties calculated at the PBE level.

Unit cell a=7.3305 b=9.7012 c=9.0273 alpha=81.01 beta=89.72 gamma=40.90
Last column: nearest neighbours and their distance in Å.
Element x y z (fractional)
Ca: 0.0000 0.0000 0.0000  10 Nd 3.67-3.72, 2 Er 3.68
Nd: 0.7583 0.5013 0.0030  7 Nd 3.53-3.81, 3 Er 3.58-3.60, 2 Ca 3.69-3.72
Nd: 0.2417 0.4987 0.9970  7 Nd 3.53-3.81, 3 Er 3.58-3.60, 2 Ca 3.69-3.72
Nd: 0.9697 0.2846 0.6606  6 Er 3.52-3.75, 5 Nd 3.54-3.74, 1 Ca 3.67
Nd: 0.0303 0.7154 0.3394  6 Er 3.52-3.75, 5 Nd 3.54-3.74, 1 Ca 3.67
Nd: 0.2252 0.7749 0.6591  6 Nd 3.54-3.74, 5 Er 3.54-3.73, 1 Ca 3.68
Nd: 0.5000 0.0000 0.0000  4 Er 3.60-3.61, 6 Nd 3.62-3.66, 2 Ca 3.67
Nd: 0.7748 0.2251 0.3409  6 Nd 3.54-3.74, 5 Er 3.54-3.73, 1 Ca 3.68
Er: 0.5374 0.7198 0.3370  8 Nd 3.52-3.75, 3 Er 3.57-3.65, 1 Ca 3.68
Er: 0.4626 0.2802 0.6630  8 Nd 3.52-3.75, 3 Er 3.57-3.65, 1 Ca 3.68
Er: 0.7186 0.7810 0.6661  8 Nd 3.56-3.67, 4 Er 3.57-3.65
Er: 0.2814 0.2190 0.3339  8 Nd 3.56-3.67, 4 Er 3.57-3.65

Values from the calculation:
SG = No. 2
Formation energy = 0.27 eV/f.u.
Raw total energy = -0.327 Ry/atom